i) Rb2Si2Tc after structural relaxation. Source: Alexandria via LeMat-Bulk, functional PBE-GGA.

Summary:
size of the total moment	7.04	Bohr magnetons per cell
D(E_F)	0.7004	states/eV per atom

abc: 10.3230 10.3230 2.9161
angles: 90.00 90.00 90.00
Each line ends with the local moment (μB).
Positions (direct):
Si (0.1747, 0.6747, 0.5000)  -0.04
Si (0.6747, 0.8253, 0.5000)  -0.04
Si (0.8253, 0.3253, 0.5000)  -0.04
Si (0.3253, 0.1747, 0.5000)  -0.04
Tc (0.0000, 0.0000, 0.0000)  3.26
Tc (0.5000, 0.5000, 0.0000)  3.26
Rb (0.3759, 0.8759, 0.0000)  0.00
Rb (0.8759, 0.6241, 0.0000)  0.00
Rb (0.6241, 0.1241, 0.0000)  0.00
Rb (0.1241, 0.3759, 0.0000)  0.00

ii) Rb2Si2Tc after structural relaxation. Source: Alexandria via LeMat-Bulk, functional PBE-GGA.

Summary:
size of the total moment	0.00	Bohr magnetons per cell
D(E_F)	0.8883	states/eV per atom

abc: 3.3640 3.3640 12.2904
angles: 82.13 82.13 90.00
Positions (direct):
Si (0.7500, 0.2500, 0.5000)
Si (0.2500, 0.7500, 0.5000)
Tc (0.0000, 0.0000, 0.0000)
Rb (0.3868, 0.3868, 0.2263)
Rb (0.6132, 0.6132, 0.7737)

In terms of stability, ii) leads; the second structure lies 432 meV/atom higher.

i) RbSiTc3 after structural relaxation. Source: Alexandria via LeMat-Bulk, functional PBE-GGA.

Summary:
size of the total moment	4.59	Bohr magnetons per cell
D(E_F)	1.2868	states/eV per atom

abc: 4.6925 4.6925 4.6925
angles: 90.00 90.00 90.00
Each line ends with the local moment (μB).
Positions (direct):
Si (0.0000, 0.0000, 0.0000)  -0.05
Tc (0.0000, 0.5000, 0.0000)  1.35
Tc (0.0000, 0.0000, 0.5000)  1.42
Tc (0.5000, 0.0000, 0.0000)  1.19
Rb (0.5000, 0.5000, 0.5000)  0.06

ii) RbSiTc3 after structural relaxation. Source: Alexandria via LeMat-Bulk, functional PBE-GGA.

Summary:
size of the total moment	4.75	Bohr magnetons per cell
D(E_F)	1.6290	states/eV per atom

abc: 4.7289 4.7289 4.7289
angles: 90.00 90.00 90.00
Each line ends with the local moment (μB).
Positions (direct):
Si (0.5000, 0.5000, 0.5000)  -0.02
Tc (0.0000, 0.5000, 0.0000)  1.42
Tc (0.0000, 0.0000, 0.5000)  1.50
Tc (0.5000, 0.0000, 0.0000)  1.45
Rb (0.0000, 0.0000, 0.0000)  0.06

In terms of stability, i) leads; the second structure lies 2010 meV/atom higher.

i) RbSi3Tc after structural relaxation. Source: Alexandria via LeMat-Bulk, functional PBE-GGA.

Summary:
size of the total moment	0.00	Bohr magnetons per cell
D(E_F)	2.6297	states/eV per atom

abc: 4.9819 4.9819 4.9819
angles: 90.00 90.00 90.00
Positions (direct):
Si (0.0000, 0.5000, 0.0000)
Si (0.0000, 0.0000, 0.5000)
Si (0.5000, 0.0000, 0.0000)
Tc (0.5000, 0.5000, 0.5000)
Rb (0.0000, 0.0000, 0.0000)

ii) RbSi3Tc after structural relaxation. Source: Alexandria via LeMat-Bulk, functional PBE-GGA.

Summary:
size of the total moment	0.00	Bohr magnetons per cell
D(E_F)	0.7766	states/eV per atom

abc: 4.7724 4.7724 4.7724
angles: 90.00 90.00 90.00
Positions (direct):
Si (0.0000, 0.5000, 0.0000)
Si (0.0000, 0.0000, 0.5000)
Si (0.5000, 0.0000, 0.0000)
Tc (0.0000, 0.0000, 0.0000)
Rb (0.5000, 0.5000, 0.5000)

In terms of stability, ii) leads; the second structure lies 2766 meV/atom higher.

i) RbSi3Te after structural relaxation. Source: Alexandria via LeMat-Bulk, functional PBE-GGA.

Summary:
size of the total moment	0.00	Bohr magnetons per cell
D(E_F)	0.7529	states/eV per atom

abc: 5.4732 5.4732 5.4732
angles: 90.00 90.00 90.00
Positions (direct):
Si (0.0000, 0.5000, 0.0000)
Si (0.0000, 0.0000, 0.5000)
Si (0.5000, 0.0000, 0.0000)
Te (0.0000, 0.0000, 0.0000)
Rb (0.5000, 0.5000, 0.5000)

ii) RbSi3Te after structural relaxation. Source: Alexandria via LeMat-Bulk, functional PBE-GGA.

Summary:
size of the total moment	0.72	Bohr magnetons per cell
D(E_F)	1.4371	states/eV per atom

abc: 5.5563 5.5563 5.5563
angles: 90.00 90.00 90.00
Each line ends with the local moment (μB).
Positions (direct):
Si (0.0000, 0.5000, 0.0000)  0.10
Si (0.0000, 0.0000, 0.5000)  0.05
Si (0.5000, 0.0000, 0.0000)  0.06
Te (0.5000, 0.5000, 0.5000)  -0.02
Rb (0.0000, 0.0000, 0.0000)  0.04

In terms of stability, i) leads; the second structure lies 1179 meV/atom higher.

i) Rb2SiTe after structural relaxation. Source: Alexandria via LeMat-Bulk, functional PBE-GGA.

Summary:
size of the total moment	4.00	Bohr magnetons per cell
D(E_F)	0.0000	states/eV per atom

abc: 9.8586 9.8586 7.7092
angles: 50.25 50.25 90.00
Each line ends with the local moment (μB).
Positions (direct):
Si (0.5000, 0.5000, 0.0000)  0.46
Si (0.2500, 0.7500, 0.5000)  0.46
Te (0.0000, 0.0000, 0.0000)  0.06
Te (0.7500, 0.2500, 0.5000)  0.06
Rb (0.6179, 0.1250, 0.2500)  0.03
Rb (0.1321, 0.6250, 0.2500)  0.03
Rb (0.3750, 0.3821, 0.7500)  0.03
Rb (0.8750, 0.8679, 0.7500)  0.03

ii) Rb2SiTe after structural relaxation. Source: Alexandria via LeMat-Bulk, functional PBE-GGA.

Summary:
size of the total moment	2.00	Bohr magnetons per cell
D(E_F)	0.9825	states/eV per atom

abc: 6.0954 6.0954 6.0954
angles: 60.00 60.00 60.00
Each line ends with the local moment (μB).
Positions (direct):
Si (0.0000, 0.0000, 0.0000)  0.54
Te (0.5000, 0.5000, 0.5000)  -0.03
Rb (0.2500, 0.2500, 0.2500)  0.03
Rb (0.7500, 0.7500, 0.7500)  0.03

In terms of stability, i) leads; the second structure lies 20 meV/atom higher.